Below is a relaxed structure of RbY3Sb, with properties calculated at the PBE-GGA level.

a b c (Å): 5.442 5.442 5.442
angles (deg): 90.00 90.00 90.00
Fractional positions:
Y  0.500  0.000  0.000
Y  0.000  0.500  0.000
Y  0.000  0.000  0.500
Sb  0.500  0.500  0.500
Rb  0.000  0.000  0.000

Calculated values
- Raw total energy: -3.705 eV/atom
- D(E_F): 3.655 states/eV/f.u.
- Size of the total moment: 0.00 Bohr magnetons per cell
- Offset from the most stable computed form: 1016 meV per atom